Here is crystalline TcSbP2 at its relaxed geometry from Alexandria. Energies are from PBE.

Geometry as CIF:
```
data_TcSbP2
_cell_length_a 3.4642
_cell_length_b 4.5142
_cell_length_c 4.6478
_cell_angle_alpha 90.00
_cell_angle_beta 99.45
_cell_angle_gamma 90.00
_space_group_name_H-M_alt 'P 1 2/m 1'
_space_group_IT_number 10
loop_
_space_group_symop_operation_xyz
'x,y,z'
'-x,-y,-z'
'-x,y,-z'
'x,-y,z'
loop_
_atom_site_label
_atom_site_type_symbol
_atom_site_fract_x
_atom_site_fract_y
_atom_site_fract_z
_atom_site_occupancy
Tc1 Tc 0.0000 0.0000 0.0000 1
Sb1 Sb 0.5000 0.0000 0.5000 1
P1 P 0.2223 0.5000 0.8444 1
```

Results
* E_tot: -24.82 eV per cell
* ρ: 6.52 g/cm3

---

Here is crystalline BaCa2LaP at its relaxed geometry from Alexandria. Energies are from PBE.

Geometry as CIF:
```
data_BaCa2LaP
_cell_length_a 5.7836
_cell_length_b 5.7836
_cell_length_c 5.8570
_cell_angle_alpha 90.00
_cell_angle_beta 90.00
_cell_angle_gamma 90.00
_space_group_name_H-M_alt 'P 4/m m m'
_space_group_IT_number 123
_space_group_name_Hall '-P 4 2'
loop_
_atom_site_label
_atom_site_type_symbol
_atom_site_fract_x
_atom_site_fract_y
_atom_site_fract_z
_atom_site_occupancy
Ba1 Ba 0.0000 0.0000 0.0000 1
Ca1 Ca 0.0000 0.5000 0.5000 1
La1 La 0.5000 0.5000 0.0000 1
P1 P 0.5000 0.5000 0.5000 1
```

Results
* energy of formation from the pure elements: -2.01 eV/f.u.
* ρ: 3.28 g/cm3

---

Here is crystalline VAs2Pb2 at its relaxed geometry from Alexandria. Energies are from PBE.

Geometry as CIF:
```
data_VAs2Pb2
_cell_length_a 4.2296
_cell_length_b 4.2296
_cell_length_c 14.8415
_cell_angle_alpha 90.00
_cell_angle_beta 90.00
_cell_angle_gamma 90.00
_space_group_name_H-M_alt 'I 4/m m m'
_space_group_IT_number 139
_space_group_name_Hall '-I 4 2'
loop_
_atom_site_label
_atom_site_type_symbol
_atom_site_fract_x
_atom_site_fract_y
_atom_site_fract_z
_atom_site_occupancy
V1 V 0.0000 0.0000 0.0000 1
As1 As 0.0000 0.0000 0.4188 1
Pb1 Pb 0.0000 0.5000 0.2500 1
```

Results
* energy of formation from the pure elements: 2.89 eV/f.u.
* ρ: 7.70 g/cm3
* offset from the most stable computed form: 535 meV per atom

---

Here is crystalline Ag2AsP at its relaxed geometry from Alexandria. Energies are from PBE.

Geometry as CIF:
```
data_Ag2AsP
_cell_length_a 2.9759
_cell_length_b 4.1213
_cell_length_c 5.8508
_cell_angle_alpha 90.00
_cell_angle_beta 90.77
_cell_angle_gamma 90.00
_space_group_name_H-M_alt 'P 1 2/m 1'
_space_group_IT_number 10
loop_
_space_group_symop_operation_xyz
'x,y,z'
'-x,-y,-z'
'-x,y,-z'
'x,-y,z'
loop_
_atom_site_label
_atom_site_type_symbol
_atom_site_fract_x
_atom_site_fract_y
_atom_site_fract_z
_atom_site_occupancy
Ag1 Ag 0.0067 0.0000 0.2563 1
As1 As 0.5000 0.5000 0.0000 1
P1 P 0.5000 0.5000 0.5000 1
```

Results
* energy of formation from the pure elements: 1.35 eV/f.u.
* ρ: 7.44 g/cm3
* offset from the most stable computed form: 148 meV per atom

---

Here is crystalline BaLa2Cu at its relaxed geometry from Alexandria. Energies are from PBE.

Geometry as CIF:
```
data_BaLa2Cu
_cell_length_a 5.6544
_cell_length_b 5.6544
_cell_length_c 4.0696
_cell_angle_alpha 90.00
_cell_angle_beta 90.00
_cell_angle_gamma 90.00
_space_group_name_H-M_alt 'P 4/m m m'
_space_group_IT_number 123
_space_group_name_Hall '-P 4 2'
loop_
_atom_site_label
_atom_site_type_symbol
_atom_site_fract_x
_atom_site_fract_y
_atom_site_fract_z
_atom_site_occupancy
Ba1 Ba 0.0000 0.0000 0.0000 1
La1 La 0.0000 0.5000 0.5000 1
Cu1 Cu 0.5000 0.5000 0.0000 1
```

Results
* energy of formation from the pure elements: 1.36 eV/f.u.
* ρ: 6.11 g/cm3
* offset from the most stable computed form: 323 meV per atom

---

Here is crystalline Ac5Sb4P at its relaxed geometry from Alexandria. Energies are from PBE.

Geometry as CIF:
```
data_Ac5Sb4P
_cell_length_a 4.7433
_cell_length_b 4.7433
_cell_length_c 33.4185
_cell_angle_alpha 90.00
_cell_angle_beta 90.00
_cell_angle_gamma 90.00
_space_group_name_H-M_alt 'I 4/m m m'
_space_group_IT_number 139
_space_group_name_Hall '-I 4 2'
loop_
_atom_site_label
_atom_site_type_symbol
_atom_site_fract_x
_atom_site_fract_y
_atom_site_fract_z
_atom_site_occupancy
Ac1 Ac 0.0000 0.0000 0.0000 1
Ac2 Ac 0.0000 0.0000 0.1999 1
Ac3 Ac 0.0000 0.0000 0.4058 1
Sb1 Sb 0.0000 0.0000 0.0990 1
Sb2 Sb 0.0000 0.0000 0.3020 1
P1 P 0.0000 0.0000 0.5000 1
```

Results
* E_tot: -109.55 eV per cell
* ρ: 7.30 g/cm3

---

Here is crystalline Y2TlGa at its relaxed geometry from Alexandria. Energies are from PBE.

Geometry as CIF:
```
data_Y2TlGa
_cell_length_a 3.7356
_cell_length_b 3.7356
_cell_length_c 27.1452
_cell_angle_alpha 90.00
_cell_angle_beta 90.00
_cell_angle_gamma 120.00
_space_group_name_H-M_alt 'R -3 m'
_space_group_IT_number 166
_space_group_name_Hall '-R 3 2"'
loop_
_atom_site_label
_atom_site_type_symbol
_atom_site_fract_x
_atom_site_fract_y
_atom_site_fract_z
_atom_site_occupancy
Y1 Y 0.0000 0.0000 0.2434 1
Tl1 Tl 0.0000 0.0000 0.0000 1
Ga1 Ga 0.0000 0.0000 0.5000 1
```

Results
* energy of formation from the pure elements: -1.51 eV/f.u.
* ρ: 6.86 g/cm3
* offset from the most stable computed form: 106 meV per atom

---

Here is crystalline YFeBr2 at its relaxed geometry from Alexandria. Energies are from PBE.

Geometry as CIF:
```
data_YFeBr2
_cell_length_a 3.5628
_cell_length_b 3.5628
_cell_length_c 27.1243
_cell_angle_alpha 90.00
_cell_angle_beta 90.00
_cell_angle_gamma 120.00
_space_group_name_H-M_alt 'R -3 m'
_space_group_IT_number 166
_space_group_name_Hall '-R 3 2"'
loop_
_atom_site_label
_atom_site_type_symbol
_atom_site_fract_x
_atom_site_fract_y
_atom_site_fract_z
_atom_site_occupancy
Y1 Y 0.0000 0.0000 0.0000 1
Fe1 Fe 0.0000 0.0000 0.5000 1
Br1 Br 0.0000 0.0000 0.4101 1
```

Results
* ρ: 5.09 g/cm3
* offset from the most stable computed form: 267 meV per atom

---

Here is crystalline SbOs2RuPt at its relaxed geometry from Alexandria. Energies are from PBE.

Geometry as CIF:
```
data_SbOs2RuPt
_cell_length_a 4.7276
_cell_length_b 4.7276
_cell_length_c 5.0029
_cell_angle_alpha 90.00
_cell_angle_beta 90.00
_cell_angle_gamma 90.00
_space_group_name_H-M_alt 'P 4/m m m'
_space_group_IT_number 123
_space_group_name_Hall '-P 4 2'
loop_
_atom_site_label
_atom_site_type_symbol
_atom_site_fract_x
_atom_site_fract_y
_atom_site_fract_z
_atom_site_occupancy
Sb1 Sb 0.0000 0.0000 0.0000 1
Os1 Os 0.0000 0.5000 0.5000 1
Ru1 Ru 0.5000 0.5000 0.0000 1
Pt1 Pt 0.0000 0.0000 0.5000 1
```

Results
* E_tot: -29.99 eV per cell
* ρ: 11.86 g/cm3

---

Here is crystalline NpMnZnCo at its relaxed geometry from Alexandria. Energies are from PBE.

Geometry as CIF:
```
data_NpMnZnCo
_cell_length_a 6.1976
_cell_length_b 6.1976
_cell_length_c 6.1976
_cell_angle_alpha 90.00
_cell_angle_beta 90.00
_cell_angle_gamma 90.00
_space_group_name_H-M_alt 'F -4 3 m'
_space_group_IT_number 216
_space_group_name_Hall 'F -4 2 3'
loop_
_atom_site_label
_atom_site_type_symbol
_atom_site_fract_x
_atom_site_fract_y
_atom_site_fract_z
_atom_site_occupancy
Np1 Np 0.0000 0.0000 0.0000 1
Mn1 Mn 0.2500 0.2500 0.7500 1
Zn1 Zn 0.0000 0.0000 0.5000 1
Co1 Co 0.2500 0.2500 0.2500 1
```

Results
* energy of formation from the pure elements: 0.38 eV/f.u.
* ρ: 11.62 g/cm3

---

Here is crystalline TmSc3Tl3Te8 at its relaxed geometry from Alexandria. Energies are from PBE.

Geometry as CIF:
```
data_TmSc3Tl3Te8
_cell_length_a 8.4447
_cell_length_b 8.4447
_cell_length_c 24.4403
_cell_angle_alpha 90.00
_cell_angle_beta 90.00
_cell_angle_gamma 120.00
_space_group_name_H-M_alt 'R -3 m'
_space_group_IT_number 166
_space_group_name_Hall '-R 3 2"'
loop_
_atom_site_label
_atom_site_type_symbol
_atom_site_fract_x
_atom_site_fract_y
_atom_site_fract_z
_atom_site_occupancy
Tm1 Tm 0.0000 0.0000 0.0000 1
Sc1 Sc 0.0000 0.5000 0.0000 1
Tl1 Tl 0.0000 0.5000 0.5000 1
Te1 Te 0.0000 0.0000 0.2653 1
Te2 Te 0.0116 0.5058 0.2635 1
```

Results
* E_tot: -210.26 eV per cell
* ρ: 6.40 g/cm3

---

Here is crystalline MgZnMo at its relaxed geometry from Alexandria. Energies are from PBE.

Geometry as CIF:
```
data_MgZnMo
_cell_length_a 2.7341
_cell_length_b 2.7341
_cell_length_c 13.1276
_cell_angle_alpha 90.00
_cell_angle_beta 90.00
_cell_angle_gamma 90.00
_space_group_name_H-M_alt 'I 4 m m'
_space_group_IT_number 107
_space_group_name_Hall 'I 4 -2'
loop_
_atom_site_label
_atom_site_type_symbol
_atom_site_fract_x
_atom_site_fract_y
_atom_site_fract_z
_atom_site_occupancy
Mg1 Mg 0.0000 0.0000 0.0000 1
Zn1 Zn 0.0000 0.0000 0.6713 1
Mo1 Mo 0.0000 0.0000 0.3277 1
```

Results
* energy of formation from the pure elements: 0.49 eV/f.u.
* ρ: 6.28 g/cm3
* offset from the most stable computed form: 60 meV per atom